Record 1
HgSb2Cl: optimized geometry, PBE-GGA.

Results
Symmetry: P4mm (99)
Energy above the lowest structure with this stoichiometry in meV per atom: 168

a b c (Å): 3.6799 3.6799 8.0067
angles (deg): 90.00 90.00 90.00
Last column: nearest neighbours and their distance in Å.
Positions (direct):
Hg (0.5000, 0.5000, 0.7411)  4 Cl 3.27, 4 Sb 3.46
Sb (0.5000, 0.5000, 0.2405)  4 Sb 3.12, 4 Cl 3.30
Sb (0.0000, 0.0000, 0.0253)  4 Sb 3.12, 4 Hg 3.46
Cl (0.0000, 0.0000, 0.4932)  4 Hg 3.27, 4 Sb 3.30



Record 2
HgSbCl2: optimized geometry, PBE-GGA.

Results
Symmetry: Pmm2 (25)
Energy above the lowest structure with this stoichiometry in meV per atom: 247

a b c (Å): 3.3692 6.1352 5.2365
angles (deg): 90.00 90.00 90.00
Last column: nearest neighbours and their distance in Å.
Positions (direct):
Cl (0.5000, 0.5000, 0.1510)  1 Sb 2.41
Cl (0.0000, 0.0000, 0.1192)  2 Hg 2.62
Hg (0.0000, 0.0000, 0.6194)  2 Cl 2.62
Sb (0.5000, 0.5000, 0.6105)  1 Cl 2.41



Record 3
HgSbCl2: optimized geometry, PBE-GGA.

Results
Symmetry: I-42d (122)
Energy above the lowest structure with this stoichiometry in meV per atom: 75

a b c (Å): 10.5654 10.5654 8.0222
angles (deg): 48.81 48.81 90.00
Last column: nearest neighbours and their distance in Å.
Positions (direct):
Cl (0.3756, 0.6250, 0.2500)  2 Sb 2.74
Cl (0.3744, 0.1250, 0.2500)  2 Sb 2.74
Cl (0.8750, 0.6244, 0.7500)  2 Sb 2.74
Cl (0.3750, 0.6256, 0.7500)  2 Sb 2.74
Sb (0.2500, 0.7500, 0.5000)  4 Cl 2.74, 2 Hg 2.92
Sb (0.5000, 0.5000, 0.0000)  4 Cl 2.74, 2 Hg 2.92
Hg (0.7500, 0.2500, 0.5000)  2 Sb 2.92
Hg (0.0000, 0.0000, 0.0000)  2 Sb 2.92



Record 4
HgSbCl2: optimized geometry, PBE-GGA.

Results
Symmetry: Cm (8)
Energy above the lowest structure with this stoichiometry in meV per atom: 117

a b c (Å): 5.5920 5.5920 8.2315
angles (deg): 68.38 68.38 34.86
Last column: nearest neighbours and their distance in Å.
Positions (direct):
Cl (0.7702, 0.7702, 0.7963)  2 Sb 2.76
Cl (0.9575, 0.9575, 0.1249)  1 Sb 2.41
Hg (0.5787, 0.5787, 0.4947)  2 Hg 3.35, 2 Sb 3.54, 2 Cl 3.67
Sb (0.1935, 0.1935, 0.0841)  1 Cl 2.41



Record 5
HgSbCl2: optimized geometry, PBE-GGA.

Results
Symmetry: C2/m (12)
Energy above the lowest structure with this stoichiometry in meV per atom: 106

a b c (Å): 4.3159 4.3159 10.1748
angles (deg): 87.53 87.53 45.25
Last column: nearest neighbours and their distance in Å.
Positions (direct):
Cl (0.0056, 0.0056, 0.0851)  1 Sb 2.63
Cl (0.4944, 0.4944, 0.4149)  1 Sb 2.63
Sb (0.2500, 0.2500, 0.2500)  2 Cl 2.63
Hg (0.7500, 0.7500, 0.7500)  2 Hg 3.32



Record 6
HgSb2Cl: optimized geometry, PBE-GGA.

Results
Symmetry: P4/mmm (123)
Energy above the lowest structure with this stoichiometry in meV per atom: 299

a b c (Å): 5.6865 4.3597 4.3597
angles (deg): 90.00 90.00 90.00
Last column: nearest neighbours and their distance in Å.
Positions (direct):
Sb (0.0000, 0.0000, 0.0000)  4 Sb 3.08
Sb (0.0000, 0.5000, 0.5000)  4 Sb 3.08
Cl (0.5000, 0.5000, 0.0000)  4 Hg 3.08
Hg (0.5000, 0.0000, 0.5000)  4 Cl 3.08



Record 7
HgSbCl4: optimized geometry, PBE-GGA.

Results
Symmetry: C2/c (15)
Energy above the lowest structure with this stoichiometry in meV per atom: 0

a b c (Å): 7.1119 7.2184 9.6733
angles (deg): 109.42 109.05 96.34
Last column: nearest neighbours and their distance in Å.
Positions (direct):
Hg (0.6668, 0.4168, 0.8336)  2 Cl 2.69
Hg (0.3332, 0.5832, 0.1664)  2 Cl 2.69
Cl (0.8865, 0.6420, 0.6507)  1 Sb 2.39
Cl (0.5604, 0.3096, 0.1292)  1 Sb 2.68, 1 Hg 2.69
Cl (0.9312, 0.1804, 0.8708)  1 Sb 2.68, 1 Hg 2.69
Cl (0.0688, 0.8196, 0.1292)  1 Sb 2.68, 1 Hg 2.69
Cl (0.7358, 0.9913, 0.3493)  1 Sb 2.39
Cl (0.4396, 0.6904, 0.8708)  1 Sb 2.68, 1 Hg 2.69
Cl (0.1135, 0.3580, 0.3493)  1 Sb 2.39
Cl (0.2642, 0.0087, 0.6507)  1 Sb 2.39
Sb (0.1704, 0.9204, 0.8407)  4 Cl 2.39-2.68
Sb (0.8296, 0.0796, 0.1593)  4 Cl 2.39-2.68



Record 8
Hg2SbCl: optimized geometry, PBE-GGA.

Results
Symmetry: R-3m (166)
Energy above the lowest structure with this stoichiometry in meV per atom: 252

a b c (Å): 9.4650 9.4650 9.4650
angles (deg): 21.98 21.98 21.98
Last column: nearest neighbours and their distance in Å.
Positions (direct):
Hg (0.0056, 0.0056, 0.0056)  3 Cl 3.00, 3 Sb 3.23
Hg (0.4944, 0.4944, 0.4944)  3 Cl 3.00, 3 Sb 3.23
Cl (0.7500, 0.7500, 0.7500)  6 Hg 3.00
Sb (0.2500, 0.2500, 0.2500)  6 Hg 3.23, 6 Sb 3.61



Record 9
Hg2SbCl: optimized geometry, PBE-GGA.

Results
Symmetry: C2/m (12)
Energy above the lowest structure with this stoichiometry in meV per atom: 222

a b c (Å): 5.9968 5.9968 3.5895
angles (deg): 80.49 80.49 120.90
Last column: nearest neighbours and their distance in Å.
Positions (direct):
Hg (0.0000, 0.0000, 0.0000)  2 Hg 2.96, 2 Sb 3.23, 2 Cl 3.23
Hg (0.5000, 0.5000, 0.0000)  2 Hg 2.96, 2 Cl 3.23, 2 Sb 3.23
Cl (0.0000, 0.5000, 0.5000)  2 Sb 2.96, 4 Hg 3.23
Sb (0.5000, 0.0000, 0.5000)  2 Cl 2.96, 4 Hg 3.23



Record 10
Hg2SbCl: optimized geometry, PBE-GGA.

Results
Symmetry: I-42d (122)
Energy above the lowest structure with this stoichiometry in meV per atom: 65

a b c (Å): 6.3486 6.3486 8.4119
angles (deg): 67.83 67.83 90.00
Last column: nearest neighbours and their distance in Å.
Positions (direct):
Hg (0.8750, 0.9081, 0.7500)  2 Sb 2.75, 2 Cl 2.99
Hg (0.0919, 0.6250, 0.2500)  2 Sb 2.75, 2 Cl 2.99
Hg (0.3750, 0.3419, 0.7500)  2 Sb 2.75, 2 Cl 2.99
Hg (0.6581, 0.1250, 0.2500)  2 Sb 2.75, 2 Cl 2.99
Sb (0.0000, 0.0000, 0.0000)  4 Hg 2.75
Sb (0.7500, 0.2500, 0.5000)  4 Hg 2.75
Cl (0.2500, 0.7500, 0.5000)  4 Hg 2.99
Cl (0.5000, 0.5000, 0.0000)  4 Hg 2.99



Record 11
Hg2SbCl: optimized geometry, PBE-GGA.

Results
Symmetry: Pmmm (47)
Energy above the lowest structure with this stoichiometry in meV per atom: 217

a b c (Å): 3.2668 5.8823 5.6190
angles (deg): 90.00 90.00 90.00
Last column: nearest neighbours and their distance in Å.
Positions (direct):
Hg (0.0000, 0.0000, 0.5020)  2 Hg 2.79-2.83
Hg (0.0000, 0.0000, 0.9980)  2 Hg 2.79-2.83
Sb (0.5000, 0.5000, 0.2500)  2 Cl 2.81
Cl (0.5000, 0.5000, 0.7500)  2 Sb 2.81



Record 12
Hg4SbCl: optimized geometry, PBE-GGA.

Results
Symmetry: F-43m (216)

a b c (Å): 6.0367 6.0367 6.0367
angles (deg): 60.00 60.00 60.00
Last column: nearest neighbours and their distance in Å.
Positions (direct):
Hg (0.8767, 0.3744, 0.3744)  6 Hg 3.00-3.03
Hg (0.3744, 0.3744, 0.8767)  6 Hg 3.00-3.03
Hg (0.3744, 0.3744, 0.3744)  6 Hg 3.00-3.03
Hg (0.3744, 0.8767, 0.3744)  6 Hg 3.00-3.03
Sb (0.7500, 0.7500, 0.7500)  12 Hg 3.54, 4 Cl 3.70
Cl (0.0000, 0.0000, 0.0000)  12 Hg 3.54, 4 Sb 3.70



Record 13
HgSbCl5: optimized geometry, PBE-GGA.

Results
Symmetry: P1 (1)

a b c (Å): 7.8268 8.0697 9.3640
angles (deg): 111.91 94.92 100.76
Last column: nearest neighbours and their distance in Å.
Positions (direct):
Cl (0.5730, 0.2663, 0.5087)  1 Sb 2.40
Cl (0.3798, 0.3832, 0.1143)  1 Sb 2.42
Cl (0.2712, 0.8050, 0.1523)  1 Sb 2.39
Cl (0.8876, 0.6129, 0.3257)  1 Hg 2.31
Cl (0.1105, 0.3908, 0.6737)  1 Hg 2.31
Cl (0.8836, 0.0710, 0.2271)  1 Hg 2.30
Cl (0.7259, 0.1951, 0.8449)  1 Sb 2.39
Cl (0.1154, 0.9329, 0.7718)  1 Hg 2.30
Cl (0.6196, 0.6186, 0.8850)  1 Sb 2.42
Cl (0.4241, 0.7359, 0.4897)  1 Sb 2.40
Sb (0.5135, 0.7090, 0.2447)  3 Cl 2.39-2.42
Sb (0.4843, 0.2931, 0.7539)  3 Cl 2.39-2.42
Hg (0.9991, 0.5018, 0.4997)  2 Cl 2.31
Hg (0.9996, 0.0020, 0.9995)  2 Cl 2.30



Record 14
HgSb2Cl8: optimized geometry, PBE-GGA.

Results
Symmetry: C2/m (12)

a b c (Å): 9.1880 8.3452 8.3452
angles (deg): 61.20 65.63 65.63
Last column: nearest neighbours and their distance in Å.
Positions (direct):
Cl (0.2378, 0.8386, 0.8386)  1 Hg 2.30
Cl (0.7486, 0.6885, 0.1025)  1 Sb 2.38
Cl (0.7622, 0.1614, 0.1614)  1 Hg 2.30
Cl (0.7486, 0.1025, 0.6885)  1 Sb 2.38
Cl (0.2514, 0.8975, 0.3115)  1 Sb 2.38
Cl (0.8975, 0.6487, 0.6487)  1 Sb 2.37
Cl (0.1025, 0.3513, 0.3513)  1 Sb 2.37
Cl (0.2514, 0.3115, 0.8975)  1 Sb 2.38
Hg (0.0000, 0.0000, 0.0000)  2 Cl 2.30
Sb (0.6640, 0.8203, 0.8203)  3 Cl 2.37-2.38
Sb (0.3360, 0.1797, 0.1797)  3 Cl 2.37-2.38



Record 15
HgSb2Cl: optimized geometry, PBE-GGA.

Results
Symmetry: R-3m (166)
Energy above the lowest structure with this stoichiometry in meV per atom: 233

a b c (Å): 10.1632 10.1632 10.1632
angles (deg): 19.43 19.43 19.43
Last column: nearest neighbours and their distance in Å.
Positions (direct):
Hg (0.7500, 0.7500, 0.7500)  6 Sb 3.24, 6 Hg 3.43
Cl (0.2500, 0.2500, 0.2500)  6 Sb 3.13, 6 Cl 3.43
Sb (0.9976, 0.9976, 0.9976)  3 Cl 3.13, 3 Hg 3.24, 6 Sb 3.43
Sb (0.5024, 0.5024, 0.5024)  3 Cl 3.13, 3 Hg 3.24, 6 Sb 3.43



Record 16
Hg5SbCl2: optimized geometry, PBE-GGA.

Results
Symmetry: Cm (8)

a b c (Å): 7.2119 7.2126 6.8474
angles (deg): 121.87 121.78 90.00
Last column: nearest neighbours and their distance in Å.
Positions (direct):
Hg (0.7170, 0.7165, 0.4341)  1 Sb 2.75, 4 Hg 3.00-3.01
Hg (0.2770, 0.2772, 0.9900)  1 Sb 2.89, 3 Hg 3.00-3.14, 2 Cl 3.23
Hg (0.7128, 0.7130, 0.9905)  1 Sb 2.89, 3 Hg 3.01-3.14
Hg (0.7130, 0.2772, 0.9900)  1 Sb 2.89, 3 Hg 3.00-3.14, 2 Cl 3.23
Hg (0.2777, 0.7130, 0.9905)  1 Sb 2.89, 3 Hg 3.01-3.14
Cl (0.2804, 0.7815, 0.5608)  4 Hg 3.23-3.24
Cl (0.7804, 0.2799, 0.5608)  4 Hg 3.23
Sb (0.0187, 0.0186, 0.0374)  5 Hg 2.75-2.89



Record 17
HgSbCl2: optimized geometry, PBE-GGA.

Results
Symmetry: Cmmm (65)
Energy above the lowest structure with this stoichiometry in meV per atom: 397

a b c (Å): 5.4585 5.4585 3.4166
angles (deg): 90.00 90.00 107.85
Last column: nearest neighbours and their distance in Å.
Positions (direct):
Hg (0.5000, 0.0000, 0.5000)  2 Sb 3.21, 8 Cl 3.22, 2 Hg 3.42
Sb (0.0000, 0.5000, 0.5000)  2 Hg 3.21, 8 Cl 3.22, 2 Sb 3.42
Cl (0.0000, 0.0000, 0.0000)  4 Cl 3.21-3.42, 4 Sb 3.22, 4 Hg 3.22
Cl (0.5000, 0.5000, 0.0000)  4 Cl 3.21-3.42, 4 Hg 3.22, 4 Sb 3.22



Record 18
HgSb2Cl: optimized geometry, PBE-GGA.

Results
Symmetry: P2/m (10)
Energy above the lowest structure with this stoichiometry in meV per atom: 153

a b c (Å): 4.8959 3.2618 6.5258
angles (deg): 90.07 90.00 90.00
Last column: nearest neighbours and their distance in Å.
Positions (direct):
Hg (0.5000, 0.7500, 0.7500)  4 Sb 3.01, 2 Hg 3.26
Sb (0.0000, 0.7379, 0.4826)  2 Hg 3.01, 3 Sb 3.04-3.26, 4 Cl 3.29-3.33
Sb (0.0000, 0.7621, 0.0174)  2 Hg 3.01, 3 Sb 3.04-3.26, 4 Cl 3.29-3.33
Cl (0.5000, 0.2500, 0.2500)  2 Cl 3.26, 8 Sb 3.29-3.33, 4 Hg 3.65



Record 19
HgSb2Cl: optimized geometry, PBE-GGA.

Results
Symmetry: C2/m (12)
Energy above the lowest structure with this stoichiometry in meV per atom: 153

a b c (Å): 6.2912 6.2912 5.8433
angles (deg): 62.54 62.54 30.81
Last column: nearest neighbours and their distance in Å.
Positions (direct):
Sb (0.9876, 0.9876, 0.0129)  2 Hg 3.03, 2 Cl 3.26, 6 Sb 3.34-3.38
Sb (0.5124, 0.5124, 0.4871)  2 Hg 3.03, 2 Cl 3.26, 6 Sb 3.34-3.38
Hg (0.2500, 0.2500, 0.2500)  4 Sb 3.03, 2 Hg 3.34, 4 Cl 3.37
Cl (0.7500, 0.7500, 0.7500)  4 Sb 3.26, 2 Cl 3.34, 4 Hg 3.37



Record 20
HgSbCl2: optimized geometry, PBE-GGA.

Results
Symmetry: C2/m (12)
Energy above the lowest structure with this stoichiometry in meV per atom: 275

a b c (Å): 6.6516 6.6516 3.2620
angles (deg): 60.90 60.90 77.57
Last column: nearest neighbours and their distance in Å.
Positions (direct):
Sb (0.0000, 0.5000, 0.5000)  4 Cl 2.91
Cl (0.0000, 0.0000, 0.0000)  2 Hg 2.91, 2 Sb 2.91
Cl (0.5000, 0.5000, 0.0000)  2 Sb 2.91, 2 Hg 2.91
Hg (0.5000, 0.0000, 0.5000)  4 Cl 2.91



Number 1: DOS at the Fermi energy 2.984 states/eV/cell, E_form (uncorrected) 0.026 eV per atom. Number 2: DOS at the Fermi energy 1.117 states/eV/cell, E_form (uncorrected) -0.212 eV per atom. Number 3: DOS at the Fermi energy 3.246 states/eV/cell, E_form (uncorrected) -0.384 eV per atom. Number 4: DOS at the Fermi energy 1.067 states/eV/cell, E_form (uncorrected) -0.342 eV per atom. Number 5: DOS at the Fermi energy 1.506 states/eV/cell, E_form (uncorrected) -0.353 eV per atom. Number 6: DOS at the Fermi energy 3.475 states/eV/cell, E_form (uncorrected) 0.157 eV per atom. Number 7: DOS at the Fermi energy 3.360 states/eV/cell, E_form (uncorrected) -0.623 eV per atom. Number 8: DOS at the Fermi energy 2.112 states/eV/cell, E_form (uncorrected) -0.004 eV per atom. Number 9: DOS at the Fermi energy 1.548 states/eV/cell, E_form (uncorrected) -0.034 eV per atom. Number 10: DOS at the Fermi energy 0.554 states/eV/cell, E_form (uncorrected) -0.192 eV per atom. Number 11: DOS at the Fermi energy 1.745 states/eV/cell, E_form (uncorrected) -0.039 eV per atom. Number 12: DOS at the Fermi energy 2.864 states/eV/cell, E_form (uncorrected) 0.113 eV per atom. Number 13: DOS at the Fermi energy 0.000 states/eV/cell, E_form (uncorrected) -0.742 eV per atom. Number 14: DOS at the Fermi energy 0.000 states/eV/cell, E_form (uncorrected) -0.764 eV per atom. Number 15: DOS at the Fermi energy 3.032 states/eV/cell, E_form (uncorrected) 0.091 eV per atom. Number 16: DOS at the Fermi energy 2.869 states/eV/cell, E_form (uncorrected) -0.152 eV per atom. Number 17: DOS at the Fermi energy 1.505 states/eV/cell, E_form (uncorrected) -0.062 eV per atom. Number 18: DOS at the Fermi energy 1.483 states/eV/cell, E_form (uncorrected) 0.010 eV per atom. Number 19: DOS at the Fermi energy 1.764 states/eV/cell, E_form (uncorrected) 0.011 eV per atom. Number 20: DOS at the Fermi energy 1.790 states/eV/cell, E_form (uncorrected) -0.184 eV per atom.